Record 1
Entry from Alexandria: a geometry-optimized BaAl2Os structure (PBE).

Properties
Magnetization in μB per atom: 0.000
Space group: Pm (6)
V in Å³/atom: 23.27
Total DFT energy (no corrections) in eV/atom: -5.096

Geometry as POSCAR:
```
BaAl2Os
1.0
3.129 0.000 0.000
0.000 4.102 0.000
-1.041 0.000 7.252
Ba Al Os
1 2 1
Cartesian
0.000 0.000 0.000
0.558 0.000 3.158
0.521 2.051 4.959
2.084 2.051 2.987
```



Record 2
Entry from Alexandria: a geometry-optimized BaAl2Os structure (PBE).

Properties
Magnetization in μB per atom: 0.000
Space group: P4mm (99)
V in Å³/atom: 22.13
Total DFT energy (no corrections) in eV/atom: -5.077

Geometry as POSCAR:
```
BaAl2Os
1.0
3.384 0.000 0.000
0.000 3.384 0.000
0.000 0.000 7.729
Ba Al Os
1 2 1
Cartesian
0.000 0.000 0.000
0.000 0.000 3.359
1.692 1.692 4.997
1.692 1.692 2.481
```



Record 3
Entry from Alexandria: a geometry-optimized Ba3AlOs structure (PBE).

Properties
Magnetization in μB per atom: 0.000
Space group: Pm-3m (221)
V in Å³/atom: 41.80
Total DFT energy (no corrections) in eV/atom: -3.624

Geometry as POSCAR:
```
Ba3AlOs
1.0
5.934 0.000 0.000
0.000 5.934 0.000
0.000 0.000 5.934
Ba Al Os
3 1 1
Cartesian
0.000 0.000 2.967
0.000 2.967 0.000
2.967 0.000 0.000
2.967 2.967 2.967
0.000 0.000 0.000
```



Record 4
Entry from Alexandria: a geometry-optimized BaTaAlOs2 structure (PBE).

Properties
Magnetization in μB per atom: 0.000
Space group: P4/mmm (123)
V in Å³/atom: 24.88
Total DFT energy (no corrections) in eV/atom: -6.970

Geometry as POSCAR:
```
BaTaAlOs2
1.0
4.903 0.000 0.000
0.000 4.903 0.000
0.000 0.000 5.175
Ba Ta Al Os
1 1 1 2
Cartesian
0.000 0.000 0.000
2.452 2.452 2.588
2.452 2.452 0.000
0.000 2.452 2.588
2.452 0.000 2.588
```



Record 5
Entry from Alexandria: a geometry-optimized BaAlTeOs2 structure (PBE).

Properties
Magnetization in μB per atom: 0.538
Space group: P4/mmm (123)
V in Å³/atom: 26.26
Total DFT energy (no corrections) in eV/atom: -5.140

Geometry as POSCAR:
```
BaAlTeOs2
1.0
4.691 0.000 0.000
0.000 4.691 0.000
0.000 0.000 5.968
Ba Al Te Os
1 1 1 2
Cartesian
0.000 0.000 0.000
0.000 0.000 2.984
2.345 2.345 0.000
0.000 2.345 2.984
2.345 0.000 2.984
```



Record 6
Entry from Alexandria: a geometry-optimized BaAlTl2Os structure (PBE).

Properties
Magnetization in μB per atom: 0.482
Space group: P4/mmm (123)
V in Å³/atom: 34.48
Total DFT energy (no corrections) in eV/atom: -3.114

Geometry as POSCAR:
```
BaAlTl2Os
1.0
5.191 0.000 0.000
0.000 5.191 0.000
0.000 0.000 6.397
Ba Al Tl Os
1 1 2 1
Cartesian
0.000 0.000 0.000
0.000 0.000 3.199
0.000 2.596 3.199
2.596 0.000 3.199
2.596 2.596 0.000
```



Record 7
Entry from Alexandria: a geometry-optimized BaZrAl2Os structure (PBE).

Properties
Magnetization in μB per atom: 0.102
Space group: P4/mmm (123)
V in Å³/atom: 24.98
Total DFT energy (no corrections) in eV/atom: -5.903

Geometry as POSCAR:
```
BaZrAl2Os
1.0
4.925 0.000 0.000
0.000 4.925 0.000
0.000 0.000 5.151
Ba Zr Al Os
1 1 2 1
Cartesian
0.000 0.000 0.000
2.462 2.462 0.000
0.000 2.462 2.575
2.462 0.000 2.575
2.462 2.462 2.575
```



Record 8
Entry from Alexandria: a geometry-optimized BaAl2P structure (PBE).

Properties
Magnetization in μB per atom: 0.000
Space group: Cmmm (65)
V in Å³/atom: 25.05
Total DFT energy (no corrections) in eV/atom: -3.375

Geometry as POSCAR:
```
BaAl2P
1.0
3.017 -5.186 0.000
3.017 5.186 0.000
0.000 0.000 3.201
Ba Al P
1 2 1
Cartesian
0.000 0.000 0.000
1.509 2.593 1.600
1.509 -2.593 1.600
3.017 0.000 0.000
```



- Look up the magnetization of the eighth one.
  0.000 μB per atom